# 1
# AlTlSn

AlTlSn after structural relaxation (PBE, the Alexandria database).

abc: 3.4367 3.4367 13.0631
angles: 90.00 90.00 90.00
Last column: nearest neighbours and their distance in Å.
Space group I4mm (No. 107)
Symmetry-distinct sites (fractional):
Al: 0.0000 0.0000 0.0000  4 Sn 3.02, 4 Tl 3.21
Tl: 0.0000 0.0000 0.3389  4 Al 3.21, 4 Tl 3.44, 4 Sn 3.58
Sn: 0.0000 0.0000 0.6372  4 Al 3.02

Properties
The volume comes out at 154.3 Å³ per cell. The size of the total moment comes out at 0.00 μB per formula unit. The calculation puts the total energy at -19.2 eV per cell.



# 2
# AlTlSn2

AlTlSn2 after structural relaxation (PBE, the Alexandria database).

abc: 4.6916 4.6916 4.7786
angles: 90.00 90.00 90.00
Last column: nearest neighbours and their distance in Å.
Space group P4/mmm (No. 123)
Symmetry-distinct sites (fractional):
Al: 0.0000 0.0000 0.0000  4 Tl 3.32, 8 Sn 3.35
Tl: 0.5000 0.5000 0.0000  4 Al 3.32, 8 Sn 3.35
Sn: 0.0000 0.5000 0.5000  4 Sn 3.32, 4 Tl 3.35, 4 Al 3.35

Properties
The volume comes out at 105.2 Å³ per cell. The size of the total moment comes out at 0.00 μB per formula unit. The calculation puts the total energy at -13.4 eV per cell.



# 3
# Al2Tl2Sn

Al2Tl2Sn after structural relaxation (PBE, the Alexandria database).

abc: 3.7993 3.7993 18.3743
angles: 90.00 90.00 90.00
Last column: nearest neighbours and their distance in Å.
Space group I4/mmm (No. 139)
Symmetry-distinct sites (fractional):
Al: 0.0000 0.5000 0.2500  4 Al 2.69
Tl: 0.0000 0.0000 0.1096  4 Al 3.20, 4 Sn 3.36
Sn: 0.0000 0.0000 0.5000  8 Tl 3.36

Properties
The volume comes out at 265.2 Å³ per cell. The size of the total moment comes out at 0.00 μB per formula unit. The calculation puts the total energy at -30.1 eV per cell.



- What is the formula in the third record?
  Al2Tl2Sn